# Li6CdPt2, relaxed, DFT PBE
# E_tot: -3.109 eV per atom
# Size of the total moment: 0.000 μB per formula unit
# ΔE to the lowest computed polymorph: 15 meV per atom
data_Li6CdPt2
_cell_length_a 2.749
_cell_length_b 7.436
_cell_length_c 13.346
_cell_angle_alpha 90.00
_cell_angle_beta 90.00
_cell_angle_gamma 90.00
_symmetry_space_group_name_H-M 'I m m m'
_symmetry_Int_Tables_number 71
_symmetry_space_group_name_Hall '-I 2 2'
loop_
_atom_site_label
_atom_site_type_symbol
_atom_site_fract_x
_atom_site_fract_y
_atom_site_fract_z
Li1 Li 0.000 0.156 0.000
Li2 Li 0.000 0.317 0.174
Cd1 Cd 0.000 0.000 0.500
Pt1 Pt 0.000 0.500 0.345


# CaSm6Ho5, relaxed, DFT PBE
# E_tot: -4.396 eV per atom
# Size of the total moment: 0.000 μB per formula unit
data_CaSm6Ho5
_cell_length_a 11.883
_cell_length_b 10.834
_cell_length_c 6.238
_cell_angle_alpha 90.00
_cell_angle_beta 100.17
_cell_angle_gamma 90.00
_symmetry_space_group_name_H-M 'C 1 2/m 1'
_symmetry_Int_Tables_number 12
loop_
_symmetry_equiv_pos_as_xyz
'x,y,z'
'-x,-y,-z'
'-x,y,-z'
'x,-y,z'
'x+1/2,y+1/2,z'
'-x+1/2,-y+1/2,-z'
'-x+1/2,y+1/2,-z'
'x+1/2,-y+1/2,z'
loop_
_atom_site_label
_atom_site_type_symbol
_atom_site_fract_x
_atom_site_fract_y
_atom_site_fract_z
Ca1 Ca 0.000 0.000 0.000
Sm1 Sm 0.246 0.330 0.748
Sm2 Sm 0.248 0.500 0.260
Ho1 Ho 0.000 0.172 0.500
Ho2 Ho 0.000 0.339 0.000
Ho3 Ho 0.000 0.500 0.500


Q: Which formation enthalpy at 0 K values were calculated for the entries above? A: -0.389 0.038, in eV per atom.
Q: Which mass density values were calculated for the entries above? A: 6.63 7.42, in Mg/m³.